{"formula": "Be2AgRu", "functional": "PBE", "state": "relaxed", "cell": [[2.834, 0.000, 0.000], [0.000, 3.907, 0.000], [0.000, 0.000, 8.657]], "species": ["Be", "Be", "Be", "Be", "Ag", "Ag", "Ru", "Ru"], "fractional_positions": [[0.000, 0.000, 0.000], [0.000, 0.500, 0.277], [0.500, 0.000, 0.777], [0.500, 0.500, 0.500], [0.000, 0.000, 0.531], [0.500, 0.500, 0.031], [0.000, 0.500, 0.757], [0.500, 0.000, 0.257]], "magnetic_moment_mub_per_fu": 0.371, "delta_e_f_mev_per_atom": 135.0}